5
Lattice="-1.719 -2.881 -3.214 0.621 -3.561 2.859 -4.271 0.634 1.716" Properties=species:S:1:pos:R:3 comment="MgGaPdPt2 PBE relaxed" dos_at_fermi_per_ev_atom=0.580 dft_energy_ev_per_atom=-4.3759 delta_e_f_mev_per_atom=3 mass_density_g_cm3=9.86 sg="P4/mmm (123)" pbc="T T T"
Pt -0.860 -1.440 -1.607
Pd 0.310 -1.780 1.430
Pt -2.135 0.317 0.858
Ga 0.000 0.000 0.000
Mg -2.685 -2.904 0.681

3
Lattice="-3.221 -1.792 1.937 3.853 -1.471 0.571 0.640 3.260 4.080" Properties=species:S:1:pos:R:3 comment="ZnTe2 PBE relaxed" dos_at_fermi_per_ev_atom=0.807 dft_energy_ev_per_atom=-2.5662 mass_density_g_cm3=6.74 formation_energy_uncorrected_ev_per_atom=-0.047 sg="P-3m1 (164)" pbc="T T T"
Zn 0.000 0.000 0.000
Te 1.677 -0.649 2.189
Te -0.405 0.646 4.399

9
Lattice="2.745 0.000 0.000 0.000 7.852 0.000 0.000 -3.926 6.800" Properties=species:S:1:pos:R:3 comment="Pu6IrRh2 PBE relaxed" de_polymorph_mev_per_atom=207 dft_energy_ev_per_atom=-12.1268 delta_e_f_mev_per_atom=46 mass_density_g_cm3=21.09 sg="P-31m (162)" pbc="T T T"
Ir 1.373 0.000 0.000
Rh 1.373 3.926 2.267
Pu 0.197 2.594 4.493
Pu 2.548 1.332 2.307
Pu 2.548 1.262 6.800
Rh 1.373 0.000 4.534
Pu 0.197 6.520 2.307
Pu 0.197 2.664 0.000
Pu 2.548 -2.594 4.493

12
Lattice="-2.332 -3.832 2.394 5.560 0.216 5.761 -8.616 6.178 1.494" Properties=species:S:1:pos:R:3 comment="NdY3ErTh PBE relaxed" dos_at_fermi_per_ev_atom=1.584 dft_energy_ev_per_atom=-5.9953 delta_e_f_mev_per_atom=29 mass_density_g_cm3=6.88 sg="P2_1/m (11)" pbc="T T T"
Er -0.111 -0.386 7.374
Y -1.399 -1.515 4.312
Y 2.701 -2.418 6.862
Y -1.027 1.996 4.895
Nd -2.431 0.877 1.736
Y -4.362 0.565 4.755
Y -8.090 4.979 2.788
Th -7.209 2.631 5.289
Th 1.820 -0.070 4.361
Er -5.278 2.948 2.276
Y -3.990 4.076 5.338
Nd -2.958 1.684 7.914

4
Lattice="-0.197 2.989 5.723 0.107 -5.448 3.469 3.084 4.254 -3.757" Properties=species:S:1:pos:R:3 comment="IrWBr2 PBE relaxed" de_polymorph_mev_per_atom=595 dos_at_fermi_per_ev_atom=0.087 dft_energy_ev_per_atom=-5.6241 mass_density_g_cm3=6.80 formation_energy_uncorrected_ev_per_atom=0.666 sg="Imm2 (44)" pbc="T T T"
Ir -0.041 -1.132 4.230
Br 1.427 3.180 2.632
W 1.569 -1.310 2.524
Br -0.006 -0.172 0.644

14
Lattice="6.708 -0.644 -2.168 -1.671 6.527 -2.168 -0.008 -0.010 8.773" Properties=species:S:1:pos:R:3 comment="AlCuCl5 PBE relaxed" dos_at_fermi_per_ev_atom=0.052 dft_energy_ev_per_atom=-3.4551 mass_density_g_cm3=2.38 formation_energy_uncorrected_ev_per_atom=-1.016 sg="P-1 (2)" pbc="T T T"
Cl 2.813 0.128 1.109
Al 0.184 2.379 5.495
Cl 3.942 4.192 -2.841
Cl 0.357 4.299 1.084
Al 4.844 3.495 -1.057
Cl 4.012 4.282 0.723
Cl 2.216 5.745 3.329
Cu 3.350 -0.327 3.303
Cl 0.000 4.598 5.459
Cu 3.354 -0.322 -1.084
Cl 5.029 1.276 -1.021
Cl 1.087 1.681 7.279
Cl 4.672 1.574 3.354
Cl 1.017 1.592 3.715

4
Lattice="10.197 0.769 -0.857 9.390 4.048 -0.857 0.822 0.202 3.428" Properties=species:S:1:pos:R:3 comment="K2CoRu PBE relaxed" de_polymorph_mev_per_atom=49 dos_at_fermi_per_ev_atom=1.148 dft_energy_ev_per_atom=-3.8962 delta_e_f_mev_per_atom=748 mass_density_g_cm3=3.32 sg="C2/m (12)" pbc="T T T"
K 12.205 3.002 0.249
Ru 15.307 3.765 1.286
Co 5.102 1.255 0.429
K 17.586 4.326 -1.106

18
Lattice="5.167 0.000 0.000 -2.583 4.474 0.000 0.000 0.000 8.894" Properties=species:S:1:pos:R:3 comment="ZnGaTeO6 PBE relaxed" dos_at_fermi_per_ev_atom=0.420 dft_energy_ev_per_atom=-5.2566 mass_density_g_cm3=5.79 formation_energy_uncorrected_ev_per_atom=-1.124 sg="P-31c (163)" pbc="T T T"
O 3.351 0.034 7.725
O -1.646 2.919 3.278
O 1.816 0.034 5.615
O 0.878 1.589 3.278
O 1.646 2.919 1.169
O -0.878 1.589 1.169
O 1.705 2.885 5.615
Te 2.583 1.491 6.670
O 0.937 1.555 7.725
Ga 2.583 1.491 2.223
O 3.462 2.885 7.725
Te 0.000 2.983 2.223
Zn 0.000 0.000 4.447
O -0.768 4.440 1.169
O 4.229 1.555 5.615
Ga 0.000 2.983 6.670
Zn 0.000 0.000 0.000
O 0.768 4.440 3.278